1.
Entry from Alexandria: a geometry-optimized Pm2PaGa structure (GGA-PBE).

Summary:
Distance to the lowest polymorph of the same formula ... 61 meV per atom
Spin magnetization ... 0.0 Bohr magnetons per cell
ΔH_f (0 K) ... -0.039 eV per atom
V ... 26.20 A^3/atom

Cell and atoms, written as CIF:
```
data_Pm2PaGa
_chemical_formula_sum 'Pm2 Pa1 Ga1'
_symmetry_space_group_name_H-M 'P 4/m m m'
_symmetry_Int_Tables_number 123
_symmetry_space_group_name_Hall '-P 4 2'
_cell_length_a 4.810
_cell_length_b 4.810
_cell_length_c 4.529
_cell_angle_alpha 90.00
_cell_angle_beta 90.00
_cell_angle_gamma 90.00
loop_
_atom_site_label
_atom_site_fract_x
_atom_site_fract_y
_atom_site_fract_z
Pm1 0.000 0.500 0.000
Pa1 0.000 0.000 0.500
Ga1 0.500 0.500 0.500
```



2.
Entry from Alexandria: a geometry-optimized PmPa2Ga6 structure (GGA-PBE).

Summary:
Distance to the lowest polymorph of the same formula ... 141 meV per atom
Spin magnetization ... 0.0 Bohr magnetons per cell
ΔH_f (0 K) ... -0.272 eV per atom
V ... 22.62 A^3/atom

Cell and atoms, written as CIF:
```
data_PmPa2Ga6
_chemical_formula_sum 'Pm2 Pa4 Ga12'
_symmetry_space_group_name_H-M 'I m m m'
_symmetry_Int_Tables_number 71
_symmetry_space_group_name_Hall '-I 2 2'
_cell_length_a 4.488
_cell_length_b 7.013
_cell_length_c 12.935
_cell_angle_alpha 90.00
_cell_angle_beta 90.00
_cell_angle_gamma 90.00
loop_
_atom_site_label
_atom_site_fract_x
_atom_site_fract_y
_atom_site_fract_z
Pm1 0.000 0.000 0.000
Pa1 0.000 0.500 0.105
Ga1 0.000 0.203 0.500
Ga2 0.000 0.298 0.307
```



3.
Entry from Alexandria: a geometry-optimized PmPa2Ga structure (GGA-PBE).

Summary:
Distance to the lowest polymorph of the same formula ... 205 meV per atom
Spin magnetization ... 0.0 Bohr magnetons per cell
ΔH_f (0 K) ... 0.173 eV per atom
V ... 25.22 A^3/atom

Cell and atoms, written as CIF:
```
data_PmPa2Ga
_chemical_formula_sum 'Pm3 Pa6 Ga3'
_symmetry_space_group_name_H-M 'R -3 m'
_symmetry_Int_Tables_number 166
_symmetry_space_group_name_Hall '-R 3 2"'
_cell_length_a 3.1719
_cell_length_b 3.1719
_cell_length_c 34.7313
_cell_angle_alpha 90.00
_cell_angle_beta 90.00
_cell_angle_gamma 120.00
loop_
_atom_site_label
_atom_site_fract_x
_atom_site_fract_y
_atom_site_fract_z
Pm1 0.0000 0.0000 0.0000
Pa1 0.0000 0.0000 0.0937
Ga1 0.0000 0.0000 0.5000
```



4.
Entry from Alexandria: a geometry-optimized Pm2PaGa structure (GGA-PBE).

Summary:
Distance to the lowest polymorph of the same formula ... 0 meV per atom
Spin magnetization ... 0.4 Bohr magnetons per cell
ΔH_f (0 K) ... -0.101 eV per atom
V ... 27.02 A^3/atom

Cell and atoms, written as CIF:
```
data_Pm2PaGa
_chemical_formula_sum 'Pm2 Pa1 Ga1'
_symmetry_space_group_name_H-M 'P 4/m m m'
_symmetry_Int_Tables_number 123
_symmetry_space_group_name_Hall '-P 4 2'
_cell_length_a 3.490
_cell_length_b 3.490
_cell_length_c 8.875
_cell_angle_alpha 90.00
_cell_angle_beta 90.00
_cell_angle_gamma 90.00
loop_
_atom_site_label
_atom_site_fract_x
_atom_site_fract_y
_atom_site_fract_z
Pm1 0.000 0.000 0.223
Pa1 0.500 0.500 0.500
Ga1 0.500 0.500 0.000
```



5.
Entry from Alexandria: a geometry-optimized Pm2PaGa6 structure (GGA-PBE).

Summary:
Spin magnetization ... 0.0 Bohr magnetons per cell
ΔH_f (0 K) ... -0.566 eV per atom
V ... 21.56 A^3/atom

Cell and atoms, written as CIF:
```
data_Pm2PaGa6
_chemical_formula_sum 'Pm2 Pa1 Ga6'
_symmetry_space_group_name_H-M 'P 6/m m m'
_symmetry_Int_Tables_number 191
_symmetry_space_group_name_Hall '-P 6 2'
_cell_length_a 7.3647
_cell_length_b 7.3647
_cell_length_c 4.1312
_cell_angle_alpha 90.00
_cell_angle_beta 90.00
_cell_angle_gamma 120.00
loop_
_atom_site_label
_atom_site_fract_x
_atom_site_fract_y
_atom_site_fract_z
Pm1 0.3333 0.6667 0.0000
Pa1 0.0000 0.0000 0.0000
Ga1 0.0000 0.3312 0.5000
```



6.
Entry from Alexandria: a geometry-optimized PmPaGa2 structure (GGA-PBE).

Summary:
Distance to the lowest polymorph of the same formula ... 211 meV per atom
Spin magnetization ... 0.0 Bohr magnetons per cell
ΔH_f (0 K) ... -0.159 eV per atom
V ... 24.60 A^3/atom

Cell and atoms, written as CIF:
```
data_PmPaGa2
_chemical_formula_sum 'Pm3 Pa3 Ga6'
_symmetry_space_group_name_H-M 'R -3 m'
_symmetry_Int_Tables_number 166
_symmetry_space_group_name_Hall '-R 3 2"'
_cell_length_a 3.4910
_cell_length_b 3.4910
_cell_length_c 27.9714
_cell_angle_alpha 90.00
_cell_angle_beta 90.00
_cell_angle_gamma 120.00
loop_
_atom_site_label
_atom_site_fract_x
_atom_site_fract_y
_atom_site_fract_z
Pm1 0.0000 0.0000 0.0000
Pa1 0.0000 0.0000 0.5000
Ga1 0.0000 0.0000 0.2495
```